[1]
# Mn2FeHg | the Alexandria database | GGA-PBE | relaxed
data_Mn2FeHg
_chemical_formula_sum 'Mn8 Fe4 Hg4'
_cell_length_a 6.868
_cell_length_b 6.868
_cell_length_c 5.234
_cell_angle_alpha 90.00
_cell_angle_beta 90.00
_cell_angle_gamma 90.00
_space_group_name_H-M_alt 'I -4 2 d'
_space_group_IT_number 122
_space_group_name_Hall 'I -4 2bw'
loop_
_atom_site_label
_atom_site_fract_x
_atom_site_fract_y
_atom_site_fract_z
_atom_site_occupancy
Mn1 0.197 0.250 0.125 1
Fe1 0.000 0.000 0.000 1
Hg1 0.000 0.000 0.500 1
# energy of formation from the pure elements	73.3	kJ per mole of atoms
# ρ	9855	kg/m3
# VASP energy	-6.0159	eV per atom
# calculated volume	246.9	Å³ per cell

---

[2]
# MnFeHg4 | the Alexandria database | GGA-PBE | relaxed
data_MnFeHg4
_chemical_formula_sum 'Mn4 Fe4 Hg16'
_cell_length_a 8.052
_cell_length_b 8.052
_cell_length_c 8.052
_cell_angle_alpha 90.00
_cell_angle_beta 90.00
_cell_angle_gamma 90.00
_space_group_name_H-M_alt 'F -4 3 m'
_space_group_IT_number 216
_space_group_name_Hall 'F -4 2 3'
loop_
_atom_site_label
_atom_site_fract_x
_atom_site_fract_y
_atom_site_fract_z
_atom_site_occupancy
Mn1 0.000 0.000 0.000 1
Fe1 0.250 0.250 0.750 1
Hg1 0.125 0.125 0.375 1
# energy of formation from the pure elements	74.2	kJ per mole of atoms
# ρ	11620	kg/m3
# VASP energy	-2.3712	eV per atom
# calculated volume	522.0	Å³ per cell

---

[3]
# Mn2FeHg | the Alexandria database | GGA-PBE | relaxed
data_Mn2FeHg
_chemical_formula_sum 'Mn6 Fe3 Hg3'
_cell_length_a 2.8705
_cell_length_b 2.8705
_cell_length_c 25.4286
_cell_angle_alpha 90.00
_cell_angle_beta 90.00
_cell_angle_gamma 120.00
_space_group_name_H-M_alt 'R -3 m'
_space_group_IT_number 166
_space_group_name_Hall '-R 3 2"'
loop_
_atom_site_label
_atom_site_fract_x
_atom_site_fract_y
_atom_site_fract_z
_atom_site_occupancy
Mn1 0.0000 0.0000 0.2384 1
Fe1 0.0000 0.0000 0.5000 1
Hg1 0.0000 0.0000 0.0000 1
# energy of formation from the pure elements	43.8	kJ per mole of atoms
# ρ	10057	kg/m3
# VASP energy	-6.3223	eV per atom
# calculated volume	181.5	Å³ per cell

---

[4]
# Mn2FeHg | the Alexandria database | GGA-PBE | relaxed
data_Mn2FeHg
_chemical_formula_sum 'Mn4 Fe2 Hg2'
_cell_length_a 9.328
_cell_length_b 2.895
_cell_length_c 4.709
_cell_angle_alpha 90.00
_cell_angle_beta 103.62
_cell_angle_gamma 90.00
_space_group_name_H-M_alt 'C 1 m 1'
_space_group_IT_number 8
_space_group_name_Hall 'C -2y'
loop_
_atom_site_label
_atom_site_fract_x
_atom_site_fract_y
_atom_site_fract_z
_atom_site_occupancy
Mn1 0.000 0.000 0.000 1
Mn2 0.245 0.000 0.735 1
Fe1 0.006 0.500 0.532 1
Hg1 0.256 0.500 0.246 1
# energy of formation from the pure elements	43.1	kJ per mole of atoms
# ρ	9845	kg/m3
# VASP energy	-6.3291	eV per atom
# calculated volume	123.6	Å³ per cell